# Dy4ThTl | Alexandria via LeMat-Bulk | PBE | optimized geometry
data_Dy4ThTl
_cell_length_a 11.074
_cell_length_b 3.452
_cell_length_c 11.039
_cell_angle_alpha 90.00
_cell_angle_beta 116.66
_cell_angle_gamma 90.00
_symmetry_space_group_name_H-M 'C 1 2/m 1'
_symmetry_Int_Tables_number 12
_symmetry_space_group_name_Hall '-C 2y'
loop_
_atom_site_label
_atom_site_type_symbol
_atom_site_fract_x
_atom_site_fract_y
_atom_site_fract_z
Dy1 Dy 0.151 0.000 0.350
Dy2 Dy 0.156 0.500 0.840
Th1 Th 0.000 0.000 0.000
Tl1 Tl 0.000 0.500 0.500
# Magnetization: 0.00 μB/f.u.
# E: -4.62 eV per atom
# Polymorph energy (0 for the lowest one): 170 meV/atom

# RbTl6CdIn | Alexandria via LeMat-Bulk | PBE | optimized geometry
data_RbTl6CdIn
_cell_length_a 6.447
_cell_length_b 12.215
_cell_length_c 17.379
_cell_angle_alpha 90.00
_cell_angle_beta 90.00
_cell_angle_gamma 90.00
_symmetry_space_group_name_H-M 'I m m a'
_symmetry_Int_Tables_number 74
_symmetry_space_group_name_Hall '-I 2b 2'
loop_
_atom_site_label
_atom_site_type_symbol
_atom_site_fract_x
_atom_site_fract_y
_atom_site_fract_z
Rb1 Rb 0.000 0.250 0.116
Tl1 Tl 0.000 0.250 0.549
Tl2 Tl 0.000 0.250 0.909
Tl3 Tl 0.247 0.022 0.843
Cd1 Cd 0.250 0.250 0.750
In1 In 0.000 0.000 0.500
# Magnetization: 0.00 μB/f.u.
# E: -2.03 eV per atom

These records have ΔE_f values of 0.451, 0.578 eV per formula unit, in the order they appear.